Density functional theory data (PBE+U) for a relaxed Na3Mn2P2C2O14 crystal.

a b c (Å): 6.573 9.103 10.392
angles (deg): 87.89 89.89 89.18
Space group P-1 (No. 2)
Unique sites:
1 Na 0.003 0.264 0.374
2 Na 0.043 0.262 0.884
3 Na 0.481 0.268 0.384
4 Mn 0.252 0.852 0.388
5 Mn 0.258 0.851 0.898
6 P 0.243 0.073 0.141
7 P 0.250 0.070 0.641
8 C 0.242 0.585 0.360
9 C 0.253 0.587 0.863
10 O 0.059 0.177 0.110
11 O 0.063 0.164 0.597
12 O 0.225 0.927 0.073
13 O 0.233 0.683 0.264
14 O 0.236 0.449 0.350
15 O 0.240 0.035 0.789
16 O 0.242 0.455 0.842
17 O 0.245 0.041 0.291
18 O 0.249 0.647 0.976
19 O 0.255 0.920 0.572
20 O 0.257 0.649 0.472
21 O 0.267 0.691 0.769
22 O 0.434 0.160 0.102
23 O 0.436 0.163 0.602

## Properties
M_tot = 14.00 μB/cell
Final energy = -6.930 eV per atom
Theoretical density = 2.613 Mg/m³